DFT (GGA-PBE) results for crystalline KErSe2O8 at its relaxed geometry.

Cell: 5.6166 5.6166 7.2288 Å, 90.00 90.00 120.00°
Closest atoms and distances in Å follow each position.
Fractional positions:
Er 0.0000 0.0000 0.0000  6 O 2.18
K 0.0000 0.0000 0.5000  6 O 2.80
O 0.1738 0.3475 0.1905  1 Se 1.67
O 0.1738 0.8262 0.1905  1 Se 1.67
O 0.6525 0.8262 0.1905  1 Se 1.67
O 0.6667 0.3333 0.4991  1 Se 1.64
O 0.3333 0.6667 0.5009  1 Se 1.64
O 0.3475 0.1738 0.8095  1 Se 1.67
O 0.8262 0.1738 0.8095  1 Se 1.67
O 0.8262 0.6525 0.8095  1 Se 1.67
Se 0.3333 0.6667 0.2744  4 O 1.64-1.67
Se 0.6667 0.3333 0.7256  4 O 1.64-1.67

Results
Its space group is P-3m1, No. 164.

=====

DFT (GGA-PBE) results for crystalline KErSeO at its relaxed geometry.

Cell: 4.5084 8.1388 6.5215 Å, 90.00 90.00 90.00°
Closest atoms and distances in Å follow each position.
Fractional positions:
Er 0.5000 0.8794 0.0346  2 O 2.08-2.09
Er 0.5000 0.1206 0.5346  2 O 2.08-2.09
K 0.0000 0.2957 0.1154  2 O 2.89, 1 Se 3.20
K 0.0000 0.7043 0.6154  2 O 2.89, 1 Se 3.20
O 0.5000 0.0897 0.2159  2 Er 2.08-2.09
O 0.5000 0.9103 0.7159  2 Er 2.08-2.09
Se 0.0000 0.7019 0.1251  2 Er 2.74
Se 0.0000 0.2981 0.6251  2 Er 2.74

Results
Its space group is Pmc2_1, No. 26. Its energy above the most stable polymorph in this dataset is 97 meV per atom.

=====

DFT (GGA-PBE) results for crystalline KErSeO at its relaxed geometry.

Cell: 7.7878 7.3414 6.4834 Å, 90.00 101.69 90.00°
Closest atoms and distances in Å follow each position.
Fractional positions:
Er 0.5250 0.6274 0.2213  3 O 2.20-2.25
Er 0.4750 0.1274 0.2787  3 O 2.20-2.25
Er 0.5250 0.8726 0.7213  3 O 2.20-2.25
Er 0.4750 0.3726 0.7787  3 O 2.20-2.25
K 0.9101 0.2783 0.0142  1 O 2.74
K 0.0899 0.7783 0.4858  1 O 2.74
K 0.9101 0.2217 0.5142  1 O 2.74
K 0.0899 0.7217 0.9858  1 O 2.74
O 0.5930 0.3517 0.1161  3 Er 2.20-2.25
O 0.4070 0.8517 0.3839  3 Er 2.20-2.25
O 0.5930 0.1483 0.6161  3 Er 2.20-2.25
O 0.4070 0.6483 0.8839  3 Er 2.20-2.25
Se 0.7566 0.9101 0.1417  3 Er 2.86-2.99, 1 K 3.13
Se 0.2434 0.4101 0.3583  3 Er 2.86-2.99, 1 K 3.13
Se 0.7566 0.5899 0.6417  3 Er 2.86-2.99, 1 K 3.13
Se 0.2434 0.0899 0.8583  3 Er 2.86-2.99, 1 K 3.13

Results
Its space group is P2_1/c, No. 14. Its energy above the most stable polymorph in this dataset is 0 meV per atom.

=====

DFT (GGA-PBE) results for crystalline KErSeO at its relaxed geometry.

Cell: 7.4037 7.4037 7.4037 Å, 29.26 29.26 29.26°
Closest atoms and distances in Å follow each position.
Fractional positions:
Er 0.0153 0.0153 0.0153  3 O 2.36
K 0.4932 0.4932 0.4932  3 O 3.03, 3 Se 3.11
O 0.7264 0.7264 0.7264  3 Er 2.36
Se 0.2652 0.2652 0.2652  3 Er 2.79, 3 K 3.11

Results
Its space group is R3m, No. 160. Its energy above the most stable polymorph in this dataset is 157 meV per atom.

=====

DFT (GGA-PBE) results for crystalline K3ErSi3O9 at its relaxed geometry.

Cell: 6.6202 6.6548 6.6678 Å, 108.90 106.72 107.65°
Closest atoms and distances in Å follow each position.
Fractional positions:
Er 0.0617 0.3748 0.0990  6 O 2.22-2.25
K 0.7434 0.8918 0.2272  4 O 2.68-2.88
K 0.5866 0.8141 0.6449  5 O 2.62-2.92
K 0.3315 0.1759 0.6653  6 O 2.70-3.00
O 0.6888 0.2427 0.0422  1 Si 1.62
O 0.4393 0.4782 0.1631  1 Si 1.62
O 0.1125 0.7490 0.2220  1 Si 1.62
O 0.4476 0.1210 0.2749  2 Si 1.67
O 0.1702 0.4252 0.4694  1 Si 1.62
O 0.8126 0.5328 0.4983  2 Si 1.66-1.67
O 0.9545 0.2884 0.7189  1 Si 1.62
O 0.2291 0.7507 0.8617  2 Si 1.67
O 0.9988 0.9991 0.9967  1 Si 1.61
Si 0.1834 0.9005 0.0856  4 O 1.61-1.67
Si 0.5951 0.3452 0.2334  4 O 1.62-1.67
Si 0.0386 0.4892 0.6338  4 O 1.62-1.67

Results
Its space group is P1, No. 1.

=====

DFT (GGA-PBE) results for crystalline KErTeO at its relaxed geometry.

Cell: 7.7510 7.7510 7.7510 Å, 28.73 28.73 28.73°
Closest atoms and distances in Å follow each position.
Fractional positions:
Er 0.0204 0.0204 0.0204  3 O 2.40
K 0.4872 0.4872 0.4872  3 O 3.03, 3 Te 3.32
O 0.7280 0.7280 0.7280  3 Er 2.40
Te 0.2644 0.2644 0.2644  3 Er 2.98, 3 K 3.32

Results
Its space group is R3m, No. 160. Its energy above the most stable polymorph in this dataset is 327 meV per atom.

=====

| no. | VASP energy (eV per atom) |
| --- | --- |
| 1 | -5.886 |
| 2 | -5.706 |
| 3 | -5.803 |
| 4 | -5.646 |
| 5 | -7.031 |
| 6 | -5.256 |